DFT (PBE) results for a geometry-optimized LaPr4Dy2Er2 structure.

Computed properties:
ΔE_f: 0.02 eV/atom
Spin magnetization: 0.00 μB per formula unit
Total energy: -42.17 eV for the cell shown

Cell lengths 5.1362, 8.1268, 8.1194 Å; angles 107.13, 90.00, 108.42 degrees
With the nearest neighbours (Å) after each atom.
Fractional positions:
La 0.0000 0.0000 0.0000  2 Dy 3.63, 6 Pr 3.63-3.65, 4 Er 3.66
Pr 0.7768 0.5536 0.6697  3 Er 3.55-3.63, 3 Dy 3.61-3.66, 1 La 3.65, 5 Pr 3.66-3.67
Pr 0.2232 0.4464 0.3303  3 Er 3.55-3.63, 3 Dy 3.61-3.66, 1 La 3.65, 5 Pr 3.66-3.67
Pr 0.5543 0.1086 0.3325  4 Pr 3.61-3.67, 4 Dy 3.63-3.64, 2 La 3.63, 2 Er 3.65-3.67
Pr 0.4457 0.8914 0.6675  4 Pr 3.61-3.67, 4 Dy 3.63-3.64, 2 La 3.63, 2 Er 3.65-3.67
Dy 0.8884 0.7768 0.3327  7 Pr 3.61-3.66, 3 Er 3.62, 1 La 3.63, 1 Dy 3.66
Dy 0.1116 0.2232 0.6673  7 Pr 3.61-3.66, 3 Er 3.62, 1 La 3.63, 1 Dy 3.66
Er 0.3307 0.6615 0.0017  5 Pr 3.55-3.67, 2 Er 3.57, 3 Dy 3.62, 2 La 3.66
Er 0.6693 0.3385 0.9983  5 Pr 3.55-3.67, 2 Er 3.57, 3 Dy 3.62, 2 La 3.66